--- P ---
DFT (PBE) results for a relaxed structure of Cu2BiBr.

Cell: 6.2852 6.2852 10.4250 Å, 90.00 90.00 90.00°
Space group I-42d (No. 122)
Symmetry-distinct sites (fractional):
Cu1 0.2352 0.2500 0.1250 x8
Bi1 0.0000 0.0000 0.5000 x4
Br1 0.0000 0.0000 0.0000 x4

Calculated values
- Magnetic moment: 0.00 μB per formula unit

---

--- Q ---
DFT (PBE) results for a relaxed structure of Cu2BiBr.

Cell: 6.9299 6.9299 6.9299 Å, 90.00 90.00 90.00°
Space group Fm-3m (No. 225)
Symmetry-distinct sites (fractional):
Cu1 0.2500 0.2500 0.2500 x8
Bi1 0.0000 0.0000 0.0000 x4
Br1 0.0000 0.0000 0.5000 x4

Calculated values
- Magnetic moment: 0.00 μB per formula unit

---

Verdict on stability: P comes out on top.

---

--- P ---
DFT (PBE) results for a relaxed structure of CuBiBr3.

Cell: 6.6062 6.6062 22.1432 Å, 90.00 90.00 120.00°
Space group R-3 (No. 148, hexagonal axes)
Symmetry-distinct sites (fractional):
Cu1 0.0000 0.0000 0.1667 x6
Bi1 0.0000 0.0000 0.3388 x6
Br1 0.0060 0.6532 0.5692 x18

Calculated values
- Magnetic moment: 0.00 μB per formula unit

---

--- Q ---
DFT (PBE) results for a relaxed structure of CuBiBr3.

Cell: 5.7628 5.7628 5.7628 Å, 90.00 90.00 90.00°
Space group Pm-3m (No. 221)
Symmetry-distinct sites (fractional):
Cu1 0.0000 0.0000 0.0000 x1
Bi1 0.5000 0.5000 0.5000 x1
Br1 0.0000 0.5000 0.5000 x3

Calculated values
- Magnetic moment: 0.66 μB per formula unit

---

Verdict on stability: P comes out on top.